[1]
The following is a PBE calculation of a relaxed structure of RbSmO2, from the Alexandria database.

Results
energy relative to the elements, uncorrected: -2.606 eV per atom
total DFT energy (no corrections): -6.507 eV/atom

abc: 3.613 3.613 19.793
angles: 90.00 90.00 120.00
Sites, in units of the cell vectors:
Rb1 0.000 0.000 0.000
Rb2 0.333 0.667 0.667
Rb3 0.667 0.333 0.333
Sm1 0.000 0.000 0.500
Sm2 0.333 0.667 0.167
Sm3 0.667 0.333 0.833
O1 0.000 0.000 0.226
O2 0.000 0.000 0.774
O3 0.333 0.667 0.440
O4 0.333 0.667 0.893
O5 0.667 0.333 0.107
O6 0.667 0.333 0.560

***

[2]
The following is a PBE calculation of a relaxed structure of AgAu2Br, from the Alexandria database.

Results
energy relative to the elements, uncorrected: 0.201 eV per atom
total DFT energy (no corrections): -2.568 eV/atom
distance to the lowest polymorph of the same formula: 0.67 eV/f.u.

abc: 3.763 4.326 10.574
angles: 90.00 90.00 90.00
Sites, in units of the cell vectors:
Ag1 0.000 0.000 0.000
Ag2 0.500 0.500 0.000
Au1 0.000 0.500 0.204
Au2 0.000 0.500 0.796
Au3 0.500 0.000 0.204
Au4 0.500 0.000 0.796
Br1 0.000 0.000 0.500
Br2 0.500 0.500 0.500

***

[3]
The following is a PBE calculation of a relaxed structure of Tl3FeB, from the Alexandria database.

Results
ΔE_f: 5.7 eV per formula unit
total DFT energy (no corrections): -3.305 eV/atom
distance to the lowest polymorph of the same formula: 0.00 eV/f.u.

abc: 4.918 4.918 4.918
angles: 90.00 90.00 90.00
Sites, in units of the cell vectors:
Tl1 0.000 0.000 0.500
Tl2 0.000 0.500 0.000
Tl3 0.500 0.000 0.000
Fe1 0.500 0.500 0.500
B1 0.000 0.000 0.000

***

[4]
The following is a PBE calculation of a relaxed structure of Zr3Be2Si4, from the Alexandria database.

Results
energy relative to the elements, uncorrected: -0.605 eV per atom
total DFT energy (no corrections): -6.693 eV/atom

abc: 5.249 5.249 7.523
angles: 103.02 103.02 42.84
Sites, in units of the cell vectors:
Zr1 0.000 0.000 0.000
Zr2 0.335 0.335 0.332
Zr3 0.665 0.665 0.668
Be1 0.391 0.391 0.719
Be2 0.609 0.609 0.281
Si1 0.062 0.062 0.385
Si2 0.284 0.284 0.936
Si3 0.716 0.716 0.064
Si4 0.938 0.938 0.615

***

Which formula does entry 3 have?
Tl3FeB

***

Which of these has the highest total DFT energy (no corrections)?
AgAu2Br

***

Which value of total DFT energy (no corrections) does entry 1 give?
-6.507 eV/atom